Zr5OsPt2 GGA-PBE relaxed; M_tot = 0.00 μB per formula unit; calculated formation energy = -0.6184 eV per atom
1.0
4.3550 0.0000 0.0000
0.0000 6.8709 0.0000
0.0000 0.0000 11.0085
Zr Os Pt
10 2 4
direct
0.0000 0.8492 0.2157
0.0000 0.1508 0.7843
0.0000 0.5000 0.0000
0.5000 0.6807 0.4126
0.5000 0.1807 0.0874
0.0000 0.6508 0.7157
0.0000 0.3492 0.2843
0.5000 0.8193 0.9126
0.0000 0.0000 0.5000
0.5000 0.3193 0.5874
0.0000 0.5000 0.5000
0.0000 0.0000 0.0000
0.5000 0.5699 0.1633
0.5000 0.4301 0.8367
0.5000 0.9301 0.6633
0.5000 0.0699 0.3367